No. 1
Below is an optimized crystal structure of KSi2Pd, with properties calculated at the PBE level.

Unit cell a=6.634 b=6.634 c=6.634 alpha=90.00 beta=90.00 gamma=90.00
Space group Fm-3m (No. 225)
Unique sites:
K 0.000 0.000 0.000 (multiplicity 4)
Si 0.250 0.250 0.250 (multiplicity 8)
Pd 0.000 0.000 0.500 (multiplicity 4)

Output
distance to the lowest polymorph of the same formula = 1.85 eV/f.u.
raw formation energy = 43.2 kJ per mole of atoms

***

No. 2
Below is an optimized crystal structure of CaZrCd2, with properties calculated at the PBE level.

Unit cell a=3.779 b=3.779 c=7.048 alpha=90.00 beta=90.00 gamma=90.00
Space group P4mm (No. 99)
Unique sites:
Ca 0.000 0.000 0.000 (multiplicity 1)
Zr 0.500 0.500 0.707 (multiplicity 1)
Cd 0.000 0.000 0.496 (multiplicity 1)
Cd 0.500 0.500 0.256 (multiplicity 1)

Output
formation energy = 58 meV per atom

***

No. 3
Below is an optimized crystal structure of Sm2InRh, with properties calculated at the PBE level.

Unit cell a=3.606 b=3.606 c=7.647 alpha=90.00 beta=90.00 gamma=90.00
Space group P4/mmm (No. 123)
Unique sites:
Sm 0.000 0.000 0.218 (multiplicity 2)
In 0.500 0.500 0.500 (multiplicity 1)
Rh 0.500 0.500 0.000 (multiplicity 1)

Output
distance to the lowest polymorph of the same formula = 0.00 eV/f.u.
formation energy = -598 meV per atom

***

No. 4
Below is an optimized crystal structure of HoTmFeRu, with properties calculated at the PBE level.

Unit cell a=6.725 b=6.725 c=6.725 alpha=90.00 beta=90.00 gamma=90.00
Space group F-43m (No. 216)
Unique sites:
Ho 0.000 0.000 0.000 (multiplicity 4)
Tm 0.000 0.000 0.500 (multiplicity 4)
Fe 0.250 0.250 0.250 (multiplicity 4)
Ru 0.250 0.250 0.750 (multiplicity 4)

Output
formation energy = -112 meV per atom

***

No. 5
Below is an optimized crystal structure of Ti2ZnTe2, with properties calculated at the PBE level.

Unit cell a=7.480 b=7.480 c=3.644 alpha=90.00 beta=90.00 gamma=90.00
Space group P4/mbm (No. 127)
Unique sites:
Ti 0.141 0.359 0.000 (multiplicity 4)
Zn 0.000 0.000 0.000 (multiplicity 2)
Te 0.155 0.655 0.500 (multiplicity 4)

Output
raw formation energy = -34.8 kJ per mole of atoms

***

No. 6
Below is an optimized crystal structure of GeTe4Pb2, with properties calculated at the PBE level.

Unit cell a=5.492 b=5.492 c=15.949 alpha=90.00 beta=90.00 gamma=90.00
Space group I4/mmm (No. 139)
Unique sites:
Ge 0.000 0.000 0.000 (multiplicity 2)
Te 0.000 0.000 0.178 (multiplicity 4)
Te 0.000 0.500 0.000 (multiplicity 4)
Pb 0.000 0.000 0.372 (multiplicity 4)

Output
distance to the lowest polymorph of the same formula = 1.09 eV/f.u.
raw formation energy = 5.1 kJ per mole of atoms

***

Number 1: uncorrected energy -3.836 eV per atom, magnetic moment 0.0 μB/f.u.. Number 2: uncorrected energy -3.037 eV per atom, magnetic moment 0.8 μB/f.u.. Number 3: uncorrected energy -5.480 eV per atom, magnetic moment 0.0 μB/f.u.. Number 4: uncorrected energy -6.809 eV per atom, magnetic moment 1.4 μB/f.u.. Number 5: uncorrected energy -5.030 eV per atom, magnetic moment 0.0 μB/f.u.. Number 6: uncorrected energy -3.462 eV per atom, magnetic moment 0.0 μB/f.u..